Compound: TiFe3I
Source: Alexandria via LeMat-Bulk
Functional: PBE
Structure: optimized geometry

The structure belongs to space group Pm-3m (No. 221); the cell edges are 4.590, 4.590 and 4.590 Å and the angles 90.00°, 90.00° and 90.00°. Symmetry generates all atoms from Ti at (0.000, 0.000, 0.000), Fe at (0.000, 0.500, 0.500) and I at (0.500, 0.500, 0.500).

For the density of states at the Fermi level, the calculation gives 7.174 states/eV/f.u. The calculation puts the energy above the lowest structure with this stoichiometry at 201.6 meV/atom. As for the uncorrected formation energy: 1.4512 eV per atom.